No. 1
First-principles (GGA-PBE) data for a geometry-optimized YHf2F structure, as listed in Alexandria.

abc: 7.123 7.123 7.123
angles: 130.93 130.93 71.92
Element x y z (fractional)
Y: 0.000 0.000 0.000
Y: 0.750 0.250 0.500
Hf: 0.338 0.625 0.213
Hf: 0.375 0.588 0.713
Hf: 0.412 0.125 0.787
Hf: 0.875 0.662 0.287
F: 0.250 0.750 0.500
F: 0.500 0.500 0.000

Values from the calculation:
Space group: No. 122
Calculated volume: 201.7 Å³ per cell

---

No. 2
First-principles (GGA-PBE) data for a geometry-optimized YHfF2 structure, as listed in Alexandria.

abc: 8.012 8.012 8.012
angles: 23.17 23.17 23.17
Element x y z (fractional)
Y: 0.000 0.000 0.000
Hf: 0.500 0.500 0.500
F: 0.408 0.408 0.408
F: 0.592 0.592 0.592

Values from the calculation:
Space group: No. 166
Calculated volume: 69.9 Å³ per cell

---

No. 3
First-principles (GGA-PBE) data for a geometry-optimized HfZn2F8 structure, as listed in Alexandria.

abc: 5.872 5.872 4.411
angles: 93.02 93.02 73.61
Element x y z (fractional)
Hf: 0.000 0.000 0.000
Zn: 0.380 0.380 0.719
Zn: 0.620 0.620 0.281
F: 0.106 0.692 0.757
F: 0.170 0.170 0.747
F: 0.308 0.894 0.243
F: 0.404 0.404 0.247
F: 0.596 0.596 0.753
F: 0.692 0.106 0.757
F: 0.830 0.830 0.253
F: 0.894 0.308 0.243

Values from the calculation:
Space group: No. 12
Calculated volume: 145.6 Å³ per cell

---

ΔE_f (raw) across the listed records, respectively: -7.47, -45.22, -68.02 kcal/mol of atoms.
Distance to the lowest polymorph of the same formula across the listed records, respectively: 0.000, 0.000, 0.000 eV per formula unit.